Computed, not measured: a relaxed MnCrRe2 crystal at the PBE level of DFT.

- density (g cm⁻³) = 14.7
- calculated total energy (eV per atom) = -10.83
- crystal system = monoclinic
- energy above the most stable polymorph in this dataset (eV/atom) = 0.015
- formation enthalpy at 0 K (eV/atom) = 0.09

Cell: 4.236 2.615 4.975 Å, 79.31 90.00 90.00°
Last column: magnetic moment on the atom in μB.
Positions (direct):
Cr: 0.000 0.514 0.508  -0.10
Mn: 0.500 0.694 0.741  2.13
Re: 0.000 0.014 0.991  -0.06
Re: 0.500 0.278 0.260  0.00



Computed, not measured: a relaxed Mn5CrRe crystal at the PBE level of DFT.

- density (g cm⁻³) = 10.3
- calculated total energy (eV per atom) = -9.57
- crystal system = orthorhombic
- formation enthalpy at 0 K (eV/atom) = 0.13

Cell: 4.557 7.519 9.659 Å, 90.00 90.00 90.00°
Last column: magnetic moment on the atom in μB.
Positions (direct):
Mn: 0.250 0.593 0.020  0.58
Mn: 0.750 0.907 0.520  0.58
Mn: 0.250 0.093 0.480  0.58
Mn: 0.750 0.407 0.980  0.58
Mn: 0.750 0.311 0.752  -0.08
Mn: 0.250 0.189 0.252  -0.08
Mn: 0.750 0.811 0.748  -0.08
Mn: 0.250 0.689 0.248  -0.08
Mn: 0.250 0.952 0.075  1.81
Mn: 0.750 0.548 0.575  1.81
Mn: 0.250 0.452 0.425  1.81
Mn: 0.750 0.048 0.925  1.81
Mn: 0.989 0.425 0.191  0.11
Mn: 0.011 0.075 0.691  0.11
Mn: 0.511 0.925 0.309  0.11
Mn: 0.489 0.575 0.809  0.11
Mn: 0.011 0.575 0.809  0.11
Mn: 0.989 0.925 0.309  0.11
Mn: 0.489 0.075 0.691  0.11
Mn: 0.511 0.425 0.191  0.11
Cr: 0.250 0.869 0.851  -0.40
Cr: 0.750 0.631 0.351  -0.40
Cr: 0.250 0.369 0.649  -0.40
Cr: 0.750 0.131 0.149  -0.40
Re: 0.250 0.247 0.933  -0.14
Re: 0.750 0.253 0.433  -0.14
Re: 0.250 0.747 0.567  -0.14
Re: 0.750 0.753 0.067  -0.14